Record 1
# Ba2TiMnS6

A geometry-optimized Ba2TiMnS6 structure (PBE, the Alexandria database).

Lattice parameters (Å, degrees): 6.7946 6.7946 33.9063 90.00 90.00 120.00
Space group R-3m (No. 166, hexagonal axes)
Inequivalent atoms, fractional coordinates:
Ba1 0.0000 0.0000 0.1221
Ba2 0.0000 0.0000 0.2959
Ti1 0.0000 0.0000 0.4148
Mn1 0.0000 0.0000 0.0000
Mn2 0.0000 0.0000 0.5000
S1 0.0076 0.5038 0.7071
S2 0.0124 0.5062 0.1256

- DOS at the Fermi energy (states/eV/f.u.) = 1.4
- E_form (uncorrected) (meV per atom) = -1376

=====

Record 2
# RbTlHg4

A geometry-optimized RbTlHg4 structure (PBE, the Alexandria database).

Lattice parameters (Å, degrees): 8.288 5.408 8.931 90.00 90.00 90.00
Space group Pmma (No. 51)
Inequivalent atoms, fractional coordinates:
Rb1 0.250 0.000 0.153
Tl1 0.250 0.000 0.744
Hg1 0.000 0.000 0.500
Hg2 0.055 0.500 0.827
Hg3 0.250 0.500 0.438

- energy relative to the lowest polymorph listed for this composition (eV per atom) = 0.007
- DOS at the Fermi energy (states/eV/f.u.) = 2.9
- DFT formation energy (eV/atom) = -0.116

=====

Record 3
# Cs2ZrRe3O12

A geometry-optimized Cs2ZrRe3O12 structure (PBE, the Alexandria database).

Lattice parameters (Å, degrees): 7.3761 7.3761 18.5376 90.00 90.00 120.00
Space group R-3m (No. 166, hexagonal axes)
Inequivalent atoms, fractional coordinates:
Cs1 0.0000 0.0000 0.1180
Zr1 0.0000 0.0000 0.5000
Re1 0.0000 0.5000 0.0000
O1 0.0680 0.5340 0.0991
O2 0.0834 0.5417 0.3486

- DOS at the Fermi energy (states/eV/f.u.) = 11.0
- E_form (uncorrected) (meV per atom) = -1943

=====

Record 4
# SrCdRh2

A geometry-optimized SrCdRh2 structure (PBE, the Alexandria database).

Lattice parameters (Å, degrees): 3.378 4.474 5.789 90.00 106.90 90.00
Space group Pm (No. 6)
Inequivalent atoms, fractional coordinates:
Sr1 0.000 0.000 0.000
Cd1 0.690 0.500 0.377
Rh1 0.269 0.000 0.533
Rh2 0.393 0.500 0.785

- DOS at the Fermi energy (states/eV/f.u.) = 5.9
- DFT formation energy (eV/atom) = 0.014

=====

Record 5
# Y4AlRh

A geometry-optimized Y4AlRh structure (PBE, the Alexandria database).

Lattice parameters (Å, degrees): 13.535 13.535 13.535 90.00 90.00 90.00
Space group F-43m (No. 216)
Inequivalent atoms, fractional coordinates:
Y1 0.000 0.000 0.187
Y2 0.056 0.250 0.250
Y3 0.103 0.103 0.603
Al1 0.172 0.172 0.828
Rh1 0.108 0.108 0.392

- energy relative to the lowest polymorph listed for this composition (eV per atom) = 0.000
- DOS at the Fermi energy (states/eV/f.u.) = 3.8
- DFT formation energy (eV/atom) = -0.515

=====

Record 6
# LaS2

A geometry-optimized LaS2 structure (PBE, the Alexandria database).

Lattice parameters (Å, degrees): 4.602 4.602 7.452 90.00 90.00 90.00
Space group I4/mmm (No. 139)
Inequivalent atoms, fractional coordinates:
La1 0.000 0.000 0.000
S1 0.000 0.500 0.250

- DOS at the Fermi energy (states/eV/f.u.) = 2.9
- E_form (uncorrected) (meV per atom) = -1558